A relaxed structure of TmMnCoCu. Source: the Alexandria database, functional PBE.

abc: 4.4624 4.4624 4.4624
angles: 60.00 60.00 60.00
Atoms (fractional coordinates):
Tm 0.0000 0.0000 0.0000
Mn 0.5000 0.5000 0.5000
Co 0.7500 0.7500 0.7500
Cu 0.2500 0.2500 0.2500

DFT formation energy = -2 kJ/mol of formula units
Space group = F-43m, No. 216

A relaxed structure of NiHgRh2. Source: the Alexandria database, functional PBE.

abc: 4.7043 4.7043 4.8661
angles: 100.20 100.20 35.17
Atoms (fractional coordinates):
Ni 0.0000 0.0000 0.0000
Hg 0.7537 0.7537 0.2515
Rh 0.2590 0.2590 0.7581
Rh 0.5136 0.5136 0.5568

DFT formation energy = 84 kJ/mol of formula units
Space group = Cm, No. 8

A relaxed structure of In2PW. Source: the Alexandria database, functional PBE.

abc: 4.7421 4.7421 4.7421
angles: 60.00 60.00 60.00
Atoms (fractional coordinates):
In 0.0000 0.0000 0.0000
In 0.2500 0.2500 0.2500
P 0.5000 0.5000 0.5000
W 0.7500 0.7500 0.7500

DFT formation energy = 343 kJ/mol of formula units
Space group = F-43m, No. 216

A relaxed structure of HoPd2Pt. Source: the Alexandria database, functional PBE.

abc: 4.1347 5.0590 7.7331
angles: 89.78 74.60 65.93
Atoms (fractional coordinates):
Ho 0.2482 0.2517 0.2508
Ho 0.7518 0.7483 0.7492
Pd 0.0000 0.0000 0.0000
Pd 0.3776 0.3717 0.8747
Pd 0.5000 0.5000 0.5000
Pd 0.6224 0.6283 0.1253
Pt 0.1271 0.1226 0.6252
Pt 0.8729 0.8774 0.3748

DFT formation energy = -326 kJ/mol of formula units
Space group = P-1, No. 2
Polymorph energy (0 for the lowest one) = 0.102 eV/atom

A relaxed structure of Co5Si2Ni. Source: the Alexandria database, functional PBE.

abc: 3.8936 3.8936 14.3063
angles: 90.00 90.00 120.00
Atoms (fractional coordinates):
Co 0.0000 0.0000 0.1645
Co 0.0000 0.0000 0.3355
Co 0.0000 0.0000 0.6645
Co 0.0000 0.0000 0.8355
Co 0.3333 0.6667 0.0622
Co 0.3333 0.6667 0.2500
Co 0.3333 0.6667 0.4378
Co 0.6667 0.3333 0.5622
Co 0.6667 0.3333 0.7500
Co 0.6667 0.3333 0.9378
Si 0.3333 0.6667 0.5933
Si 0.3333 0.6667 0.9067
Si 0.6667 0.3333 0.0933
Si 0.6667 0.3333 0.4067
Ni 0.3333 0.6667 0.7500
Ni 0.6667 0.3333 0.2500

Space group = P6_3/mmc, No. 194

A relaxed structure of Y2Cu5Pt5. Source: the Alexandria database, functional PBE.

abc: 4.3730 5.0736 9.0504
angles: 90.00 90.00 90.00
Atoms (fractional coordinates):
Y 0.0000 0.0000 0.0000
Y 0.0000 0.5000 0.5000
Cu 0.5000 0.0000 0.5000
Cu 0.5000 0.2498 0.2566
Cu 0.5000 0.2498 0.7434
Cu 0.5000 0.7502 0.2566
Cu 0.5000 0.7502 0.7434
Pt 0.0000 0.0000 0.3351
Pt 0.0000 0.0000 0.6649
Pt 0.0000 0.5000 0.1754
Pt 0.0000 0.5000 0.8246
Pt 0.5000 0.5000 0.0000

DFT formation energy = -696 kJ/mol of formula units
Space group = Pmmm, No. 47

Listing electronic total energy for the structures above in their given order: -6.2169, -4.9801, -5.0702, -6.0950, -6.6725, -5.9021 eV/atom.
Listing DOS(E_F) for the structures above in their given order: 2.98, 5.80, 4.04, 6.80, 9.84, 3.26 states/eV/cell.